# Dy6SiBi2 | Alexandria | PBE | optimized geometry
# E_tot ... -5.05 eV/atom
# Space-group type ... P2_1/c (14)
# Density of states at the Fermi level ... 19.836 states/eV per cell
data_Dy6SiBi2
_cell_length_a 6.3473
_cell_length_b 8.1728
_cell_length_c 10.2309
_cell_angle_alpha 90.00
_cell_angle_beta 90.60
_cell_angle_gamma 90.00
_symmetry_space_group_name_H-M 'P 1'
_symmetry_Int_Tables_number 1
loop_
_symmetry_equiv_pos_as_xyz
'x,y,z'
loop_
_atom_site_label
_atom_site_fract_x
_atom_site_fract_y
_atom_site_fract_z
_atom_site_occupancy
Dy1 0.6319 0.1876 0.5436 1
Dy2 0.1319 0.3124 0.0436 1
Dy3 0.6274 0.4685 0.2616 1
Dy4 0.1274 0.0315 0.7616 1
Dy5 0.3681 0.8124 0.4564 1
Dy6 0.8726 0.9685 0.2384 1
Dy7 0.6316 0.1761 0.9571 1
Dy8 0.3684 0.8239 0.0429 1
Dy9 0.8681 0.6876 0.9564 1
Dy10 0.1316 0.3239 0.4571 1
Dy11 0.8684 0.6761 0.5429 1
Dy12 0.3726 0.5315 0.7384 1
Bi1 0.0967 0.6124 0.2475 1
Bi2 0.9033 0.3876 0.7525 1
Bi3 0.4033 0.1124 0.2525 1
Bi4 0.5967 0.8876 0.7475 1
Si1 0.0000 0.0000 0.5000 1
Si2 0.5000 0.5000 0.0000 1


# Dy3SiBi2 | Alexandria | PBE | optimized geometry
# E_tot ... -5.13 eV/atom
# Space-group type ... Cmcm (63)
# Density of states at the Fermi level ... 5.952 states/eV per cell
data_Dy3SiBi2
_cell_length_a 7.5538
_cell_length_b 7.5093
_cell_length_c 7.5093
_cell_angle_alpha 122.26
_cell_angle_beta 90.00
_cell_angle_gamma 90.00
_symmetry_space_group_name_H-M 'P 1'
_symmetry_Int_Tables_number 1
loop_
_symmetry_equiv_pos_as_xyz
'x,y,z'
loop_
_atom_site_label
_atom_site_fract_x
_atom_site_fract_y
_atom_site_fract_z
_atom_site_occupancy
Dy1 0.9696 0.5000 0.5000 1
Dy2 0.4696 0.8547 0.1452 1
Dy3 0.9696 0.1453 0.8548 1
Dy4 0.4696 0.5000 0.5000 1
Dy5 0.9696 0.8548 0.1453 1
Dy6 0.4696 0.1452 0.8547 1
Bi1 0.7197 0.1738 0.5254 1
Bi2 0.2197 0.4746 0.8262 1
Bi3 0.7197 0.5254 0.1738 1
Bi4 0.2197 0.8262 0.4746 1
Si1 0.2196 0.1806 0.1806 1
Si2 0.7196 0.8194 0.8194 1


# Dy5SiBi4 | Alexandria | PBE | optimized geometry
# E_tot ... -5.17 eV/atom
# Space-group type ... I4/m (87)
# Density of states at the Fermi level ... 3.445 states/eV per cell
data_Dy5SiBi4
_cell_length_a 6.2403
_cell_length_b 7.6319
_cell_length_c 7.6319
_cell_angle_alpha 80.38
_cell_angle_beta 65.87
_cell_angle_gamma 65.87
_symmetry_space_group_name_H-M 'P 1'
_symmetry_Int_Tables_number 1
loop_
_symmetry_equiv_pos_as_xyz
'x,y,z'
loop_
_atom_site_label
_atom_site_fract_x
_atom_site_fract_y
_atom_site_fract_z
_atom_site_occupancy
Bi1 0.8056 0.7876 0.6032 1
Bi2 0.5932 0.6032 0.2124 1
Bi3 0.4088 0.3968 0.7876 1
Bi4 0.1964 0.2124 0.3968 1
Si1 0.0012 0.0000 0.0000 1
Dy1 0.7210 0.1826 0.3773 1
Dy2 0.0983 0.6227 0.1826 1
Dy3 0.9036 0.3773 0.8174 1
Dy4 0.2810 0.8174 0.6227 1
Dy5 0.5011 0.0000 0.0000 1


# Dy6Si2BiTe3 | Alexandria | PBE | optimized geometry
# E_tot ... -5.43 eV/atom
# Space-group type ... C2/m (12)
# Density of states at the Fermi level ... 2.646 states/eV per cell
data_Dy6Si2BiTe3
_cell_length_a 4.2836
_cell_length_b 8.7086
_cell_length_c 9.6633
_cell_angle_alpha 103.28
_cell_angle_beta 102.81
_cell_angle_gamma 90.00
_symmetry_space_group_name_H-M 'P 1'
_symmetry_Int_Tables_number 1
loop_
_symmetry_equiv_pos_as_xyz
'x,y,z'
loop_
_atom_site_label
_atom_site_fract_x
_atom_site_fract_y
_atom_site_fract_z
_atom_site_occupancy
Si1 0.8315 0.6629 0.6630 1
Si2 0.1685 0.3371 0.3370 1
Dy1 0.6745 0.5673 0.3491 1
Dy2 0.3299 0.8857 0.6598 1
Dy3 0.3255 0.4327 0.6509 1
Dy4 0.9869 0.7436 0.9739 1
Dy5 0.0131 0.2564 0.0261 1
Dy6 0.6701 0.1143 0.3402 1
Te1 0.8378 0.1656 0.6755 1
Te2 0.1622 0.8344 0.3245 1
Te3 0.5000 0.5000 0.0000 1
Bi1 0.5000 0.0000 0.0000 1


# Dy4SiBiTe2 | Alexandria | PBE | optimized geometry
# E_tot ... -5.36 eV/atom
# Space-group type ... P2/m (10)
# Density of states at the Fermi level ... 1.765 states/eV per cell
data_Dy4SiBiTe2
_cell_length_a 4.3174
_cell_length_b 7.5373
_cell_length_c 7.5553
_cell_angle_alpha 70.80
_cell_angle_beta 90.00
_cell_angle_gamma 90.00
_symmetry_space_group_name_H-M 'P 1'
_symmetry_Int_Tables_number 1
loop_
_symmetry_equiv_pos_as_xyz
'x,y,z'
loop_
_atom_site_label
_atom_site_fract_x
_atom_site_fract_y
_atom_site_fract_z
_atom_site_occupancy
Dy1 0.0000 0.2672 0.2640 1
Dy2 0.0000 0.7328 0.7360 1
Dy3 0.5000 0.2756 0.7257 1
Dy4 0.5000 0.7244 0.2743 1
Te1 0.0000 0.0000 0.0000 1
Te2 0.5000 0.0000 0.5000 1
Si1 0.0000 0.5000 0.5000 1
Bi1 0.5000 0.5000 0.0000 1


# SmDy2Bi3 | Alexandria | PBE | optimized geometry
# Space-group type ... Immm (71)
# Energy of formation from the pure elements ... -0.879 eV per atom
# Density of states at the Fermi level ... 1.282 states/eV per cell
data_SmDy2Bi3
_cell_length_a 4.5044
_cell_length_b 6.3676
_cell_length_c 7.8012
_cell_angle_alpha 114.09
_cell_angle_beta 106.78
_cell_angle_gamma 90.00
_symmetry_space_group_name_H-M 'P 1'
_symmetry_Int_Tables_number 1
loop_
_symmetry_equiv_pos_as_xyz
'x,y,z'
loop_
_atom_site_label
_atom_site_fract_x
_atom_site_fract_y
_atom_site_fract_z
_atom_site_occupancy
Sm1 0.5000 0.5000 0.5000 1
Dy1 0.1657 0.1657 0.8314 1
Dy2 0.8343 0.8343 0.1686 1
Bi1 0.8303 0.3303 0.1605 1
Bi2 0.5000 0.0000 0.5000 1
Bi3 0.1697 0.6697 0.8395 1


# SmDyBi2 | Alexandria | PBE | optimized geometry
# Space-group type ... R3m (160)
# Energy of formation from the pure elements ... -0.782 eV per atom
# Density of states at the Fermi level ... 0.488 states/eV per cell
# Relative energy among the computed polymorphs ... 110 meV/atom
data_SmDyBi2
_cell_length_a 4.4855
_cell_length_b 4.4855
_cell_length_c 8.0957
_cell_angle_alpha 73.92
_cell_angle_beta 73.92
_cell_angle_gamma 60.00
_symmetry_space_group_name_H-M 'P 1'
_symmetry_Int_Tables_number 1
loop_
_symmetry_equiv_pos_as_xyz
'x,y,z'
loop_
_atom_site_label
_atom_site_fract_x
_atom_site_fract_y
_atom_site_fract_z
_atom_site_occupancy
Sm1 0.6688 0.6688 0.9937 1
Dy1 0.4980 0.4980 0.5059 1
Bi1 0.2497 0.2497 0.2508 1
Bi2 0.0835 0.0835 0.7495 1


# SmDyBi2 | Alexandria | PBE | optimized geometry
# Space-group type ... P6_3/mmc (194)
# Energy of formation from the pure elements ... -0.819 eV per atom
# Density of states at the Fermi level ... 1.733 states/eV per cell
# Relative energy among the computed polymorphs ... 73 meV/atom
data_SmDyBi2
_cell_length_a 4.5039
_cell_length_b 4.5039
_cell_length_c 14.9584
_cell_angle_alpha 90.00
_cell_angle_beta 90.00
_cell_angle_gamma 120.00
_symmetry_space_group_name_H-M 'P 1'
_symmetry_Int_Tables_number 1
loop_
_symmetry_equiv_pos_as_xyz
'x,y,z'
loop_
_atom_site_label
_atom_site_fract_x
_atom_site_fract_y
_atom_site_fract_z
_atom_site_occupancy
Bi1 0.3333 0.6667 0.3749 1
Bi2 0.6667 0.3333 0.6251 1
Bi3 0.3333 0.6667 0.1251 1
Bi4 0.6667 0.3333 0.8749 1
Sm1 0.0000 0.0000 0.5000 1
Sm2 0.0000 0.0000 0.0000 1
Dy1 0.6667 0.3333 0.2500 1
Dy2 0.3333 0.6667 0.7500 1


# SmDy3Bi2 | Alexandria | PBE | optimized geometry
# Space-group type ... P-4m2 (115)
# Energy of formation from the pure elements ... -0.590 eV per atom
# Density of states at the Fermi level ... 4.707 states/eV per cell
# Relative energy among the computed polymorphs ... 0 meV/atom
data_SmDy3Bi2
_cell_length_a 4.5733
_cell_length_b 4.5733
_cell_length_c 8.6775
_cell_angle_alpha 90.00
_cell_angle_beta 90.00
_cell_angle_gamma 90.00
_symmetry_space_group_name_H-M 'P 1'
_symmetry_Int_Tables_number 1
loop_
_symmetry_equiv_pos_as_xyz
'x,y,z'
loop_
_atom_site_label
_atom_site_fract_x
_atom_site_fract_y
_atom_site_fract_z
_atom_site_occupancy
Bi1 0.5000 0.0000 0.7137 1
Bi2 0.0000 0.5000 0.2863 1
Dy1 0.0000 0.0000 0.0000 1
Dy2 0.5000 0.0000 0.3466 1
Dy3 0.0000 0.5000 0.6534 1
Sm1 0.5000 0.5000 0.0000 1


# Sm4DyBi3 | Alexandria | PBE | optimized geometry
# Space-group type ... Immm (71)
# Energy of formation from the pure elements ... -0.464 eV per atom
# Density of states at the Fermi level ... 9.023 states/eV per cell
data_Sm4DyBi3
_cell_length_a 4.1150
_cell_length_b 8.8006
_cell_length_c 8.7166
_cell_angle_alpha 120.30
_cell_angle_beta 103.65
_cell_angle_gamma 90.00
_symmetry_space_group_name_H-M 'P 1'
_symmetry_Int_Tables_number 1
loop_
_symmetry_equiv_pos_as_xyz
'x,y,z'
loop_
_atom_site_label
_atom_site_fract_x
_atom_site_fract_y
_atom_site_fract_z
_atom_site_occupancy
Bi1 0.1775 0.1772 0.3551 1
Bi2 0.0000 0.5000 0.0000 1
Bi3 0.8225 0.8228 0.6449 1
Dy1 0.5000 0.0000 0.0000 1
Sm1 0.6326 0.4275 0.2652 1
Sm2 0.6324 0.8370 0.2647 1
Sm3 0.3676 0.1630 0.7353 1
Sm4 0.3674 0.5725 0.7348 1


# Sm2DyBi | Alexandria | PBE | optimized geometry
# Space-group type ... P2_1/m (11)
# Energy of formation from the pure elements ... -0.405 eV per atom
# Density of states at the Fermi level ... 8.453 states/eV per cell
# Relative energy among the computed polymorphs ... 0 meV/atom
data_Sm2DyBi
_cell_length_a 4.6607
_cell_length_b 4.6467
_cell_length_c 11.8386
_cell_angle_alpha 90.00
_cell_angle_beta 101.36
_cell_angle_gamma 90.00
_symmetry_space_group_name_H-M 'P 1'
_symmetry_Int_Tables_number 1
loop_
_symmetry_equiv_pos_as_xyz
'x,y,z'
loop_
_atom_site_label
_atom_site_fract_x
_atom_site_fract_y
_atom_site_fract_z
_atom_site_occupancy
Dy1 0.6922 0.7500 0.3837 1
Dy2 0.3078 0.2500 0.6163 1
Sm1 0.9392 0.2500 0.8789 1
Sm2 0.4351 0.7500 0.8710 1
Sm3 0.5649 0.2500 0.1290 1
Sm4 0.0608 0.7500 0.1211 1
Bi1 0.1725 0.2500 0.3443 1
Bi2 0.8275 0.7500 0.6557 1